Record 1
PBE HgWCl, optimized geometry; excess energy over the best structure of this formula in the dataset = 0.000 eV/atom; formation energy from raw total energies = 320 meV per atom; density of states at the Fermi level = 0.667 states/eV/atom; space group = P3m1
1.0
-0.354 2.008 2.233
-2.184 -2.007 -0.588
3.412 -5.255 5.265
Cl Hg W
1 1 1
Direct
0.000 0.000 0.907 Cl
0.667 0.333 0.396 Hg
0.333 0.667 0.697 W

Record 2
PBE PuUAl4, optimized geometry; density of states at the Fermi level = 1.431 states/eV/atom; energy of formation = -260 meV per atom; space group = F-43m
1.0
-0.914 -0.683 -5.358
-0.923 -5.014 -2.004
-5.001 -1.364 -1.773
U Al Pu
1 4 1
Direct
0.000 0.000 0.000 U
0.625 0.625 0.124 Al
0.625 0.124 0.625 Al
0.625 0.625 0.625 Al
0.124 0.625 0.625 Al
0.250 0.250 0.250 Pu

Record 3
PBE ZnCo2Ir, optimized geometry; density of states at the Fermi level = 1.511 states/eV/atom; energy of formation = 35 meV per atom; space group = I-4m2
1.0
4.519 -0.021 0.000
1.498 4.264 0.000
-3.009 -2.121 2.621
Co Ir Zn
2 1 1
Direct
0.000 0.000 0.000 Co
0.250 0.750 0.500 Co
0.500 0.500 0.000 Ir
0.750 0.250 0.500 Zn

Record 4
PBE Sm2InF, optimized geometry; excess energy over the best structure of this formula in the dataset = 0.207 eV/atom; formation energy from raw total energies = -1130 meV per atom; density of states at the Fermi level = 0.845 states/eV/atom; space group = P4/mmm
1.0
-1.039 -0.338 3.154
-1.444 -2.904 -0.787
6.917 -3.943 1.855
F Sm In
1 2 1
Direct
0.500 0.500 0.000 F
0.000 0.000 0.772 Sm
0.000 0.000 0.228 Sm
0.500 0.500 0.500 In